No. 1
This record from Alexandria via LeMat-Bulk describes crystalline LaCr2Mo2 at its relaxed geometry. The functional is PBE-GGA.

Summary:
Final energy = -8.733 eV per atom
Distance to the lowest polymorph of the same formula = 0 meV/atom
Formation enthalpy at 0 K = 0.434 eV per atom

Cell lengths 6.1516, 6.1516, 6.1516 Å; angles 140.38, 140.38, 57.28 degrees
Fractional coordinates of all 5 atoms:
La (0.0000, 0.0000, 0.0000)
Cr (0.2500, 0.7500, 0.5000)
Cr (0.7500, 0.2500, 0.5000)
Mo (0.3693, 0.3693, 0.0000)
Mo (0.6307, 0.6307, 0.0000)

***

No. 2
This record from Alexandria via LeMat-Bulk describes crystalline CaScAs at its relaxed geometry. The functional is PBE-GGA.

Summary:
Final energy = -5.262 eV per atom
Formation enthalpy at 0 K = -0.935 eV per atom

Cell lengths 4.2508, 4.2508, 7.8747 Å; angles 90.00, 90.00, 90.00 degrees
Fractional coordinates of all 6 atoms:
Ca (0.2500, 0.2500, 0.1493)
Ca (0.7500, 0.7500, 0.8507)
Sc (0.2500, 0.7500, 0.5000)
Sc (0.7500, 0.2500, 0.5000)
As (0.2500, 0.2500, 0.7493)
As (0.7500, 0.7500, 0.2507)